Record 1
The following is a GGA+U calculation of a relaxed structure of CoSn2WO, from Alexandria.

Cell and atoms, written as POSCAR:
```
CoSn2WO
1.0
-4.309 -3.029 0.846
1.818 -3.358 -2.766
2.379 -2.202 4.237
Co Sn O W
1 2 1 1
Direct
0.000 0.500 0.000 Co
0.000 0.000 0.500 Sn
0.500 0.000 0.000 Sn
0.500 0.500 0.500 O
0.000 0.000 0.000 W
```

Properties
The calculation puts the electronic total energy at -3.625 eV per atom. As for the space group: P4/mmm (123). The value obtained for the density of states at the Fermi level is 0.788 states/eV/atom.

---

Record 2
The following is a GGA+U calculation of a relaxed structure of ZnCoSnO4, from Alexandria.

Cell and atoms, written as POSCAR:
```
ZnCoSnO4
1.0
6.064 0.000 0.000
3.032 5.411 0.040
3.032 1.687 5.141
Co O Zn Sn
2 8 2 2
Direct
0.000 0.000 0.500 Co
0.500 0.000 0.500 Co
0.235 0.783 0.746 O
0.765 0.217 0.254 O
0.764 0.752 0.252 O
0.235 0.246 0.283 O
0.236 0.248 0.748 O
0.768 0.248 0.748 O
0.765 0.754 0.717 O
0.232 0.752 0.252 O
0.359 0.391 0.891 Zn
0.641 0.609 0.109 Zn
0.000 0.500 0.500 Sn
0.000 0.000 0.000 Sn
```

Properties
The calculation puts the electronic total energy at -5.746 eV per atom. As for the space group: Imma (74).

---

Record 3
The following is a GGA+U calculation of a relaxed structure of ZrCo2SnO6, from Alexandria.

Cell and atoms, written as POSCAR:
```
ZrCo2SnO6
1.0
5.336 0.000 0.002
2.668 4.621 0.002
2.668 1.541 4.803
Sn O Co Zr
1 6 2 1
Direct
0.315 0.315 0.055 Sn
0.712 0.109 0.760 O
0.924 0.607 0.254 O
0.215 0.924 0.254 O
0.419 0.712 0.760 O
0.607 0.215 0.254 O
0.109 0.419 0.760 O
0.526 0.526 0.421 Co
0.022 0.022 0.933 Co
0.812 0.812 0.565 Zr
```

Properties
The calculation puts the electronic total energy at -7.122 eV per atom. As for the space group: R3 (146). The value obtained for the density of states at the Fermi level is 0.000 states/eV/atom.

---

Record 4
The following is a GGA+U calculation of a relaxed structure of SrCoO3, from Alexandria.

Cell and atoms, written as POSCAR:
```
SrCoO3
1.0
3.849 0.000 3.538
-1.925 3.334 3.538
-1.925 -3.334 3.538
O Co Sr
3 1 1
Direct
0.675 0.106 0.675 O
0.106 0.675 0.675 O
0.675 0.675 0.106 O
0.846 0.846 0.846 Co
0.573 0.573 0.573 Sr
```

Properties
The calculation puts the electronic total energy at -5.622 eV per atom. As for the space group: R3m (160). The value obtained for the density of states at the Fermi level is 1.953 states/eV/atom.

---

Record 5
The following is a GGA+U calculation of a relaxed structure of SrCoO3, from Alexandria.

Cell and atoms, written as POSCAR:
```
SrCoO3
1.0
3.537 -0.001 0.000
0.001 3.537 0.000
0.000 0.000 7.549
O Co Sr
3 1 1
Direct
0.000 0.500 0.000 O
0.500 0.000 0.000 O
0.500 0.500 0.500 O
0.000 0.000 0.000 Co
0.000 0.000 0.500 Sr
```

Properties
The calculation puts the electronic total energy at -5.446 eV per atom. As for the space group: P4/mmm (123). The value obtained for the density of states at the Fermi level is 0.887 states/eV/atom.

---

Record 6
The following is a GGA+U calculation of a relaxed structure of SrCoO3, from Alexandria.

Cell and atoms, written as POSCAR:
```
SrCoO3
1.0
4.430 0.000 0.000
0.000 4.430 0.000
0.000 0.000 4.430
Sr Co O
1 1 3
Direct
0.000 0.000 0.000 Sr
0.500 0.500 0.500 Co
0.000 0.500 0.000 O
0.000 0.000 0.500 O
0.500 0.000 0.000 O
```

Properties
The calculation puts the electronic total energy at -4.239 eV per atom. As for the space group: Pm-3m (221). The value obtained for the density of states at the Fermi level is 0.782 states/eV/atom.

---

Record 7
The following is a GGA+U calculation of a relaxed structure of Sr3Co3O8, from Alexandria.

Cell and atoms, written as POSCAR:
```
Sr3Co3O8
1.0
2.076 0.134 -5.189
5.124 -0.589 2.157
2.354 -11.642 -2.123
Sr Co O
6 6 16
Direct
0.822 0.340 0.333 Sr
0.000 0.500 0.000 Sr
0.660 0.178 0.667 Sr
0.500 0.000 0.000 Sr
0.340 0.822 0.333 Sr
0.178 0.660 0.667 Sr
0.741 0.741 0.505 Co
0.906 0.906 0.186 Co
0.405 0.405 0.165 Co
0.094 0.094 0.814 Co
0.259 0.259 0.495 Co
0.595 0.595 0.835 Co
0.000 0.500 0.500 O
0.146 0.146 0.132 O
0.500 0.500 0.500 O
0.500 0.000 0.500 O
0.359 0.826 0.830 O
0.641 0.174 0.170 O
0.278 0.278 0.342 O
0.854 0.854 0.868 O
0.319 0.319 0.825 O
0.121 0.121 0.648 O
0.826 0.359 0.830 O
0.174 0.641 0.170 O
0.500 0.500 0.000 O
0.722 0.722 0.658 O
0.879 0.879 0.352 O
0.681 0.681 0.175 O
```

Properties
The calculation puts the electronic total energy at -6.022 eV per atom. As for the space group: C2/m (12). The value obtained for the density of states at the Fermi level is 0.174 states/eV/atom.

---

Record 8
The following is a GGA+U calculation of a relaxed structure of SrCoO3, from Alexandria.

Cell and atoms, written as POSCAR:
```
SrCoO3
1.0
15.011 0.000 0.057
5.533 1.855 -2.509
-5.533 1.855 2.509
O Co Sr
6 2 2
Direct
0.395 0.763 0.237 O
0.884 0.116 0.884 O
0.016 0.305 0.695 O
0.116 0.884 0.116 O
0.984 0.695 0.305 O
0.605 0.237 0.763 O
0.898 0.941 0.059 Co
0.102 0.059 0.941 Co
0.355 0.025 0.975 Sr
0.645 0.975 0.025 Sr
```

Properties
The calculation puts the electronic total energy at -5.839 eV per atom. As for the space group: C2/m (12). The value obtained for the density of states at the Fermi level is 0.001 states/eV/atom.

---

Record 9
The following is a GGA+U calculation of a relaxed structure of SrCoO3, from Alexandria.

Cell and atoms, written as POSCAR:
```
SrCoO3
1.0
4.159 0.000 0.000
0.000 4.159 0.000
0.000 0.000 4.535
O Sr Co
3 1 1
Direct
0.500 0.000 0.553 O
0.000 0.500 0.553 O
0.000 0.000 0.553 O
0.000 0.000 0.053 Sr
0.500 0.500 0.553 Co
```

Properties
The calculation puts the electronic total energy at -4.974 eV per atom. As for the space group: P4/mmm (123). The value obtained for the density of states at the Fermi level is 0.715 states/eV/atom.

---

Record 10
The following is a GGA+U calculation of a relaxed structure of Sr2CoO4, from Alexandria.

Cell and atoms, written as POSCAR:
```
Sr2CoO4
1.0
-7.736 -1.773 -3.684
4.305 -2.880 -7.052
-0.554 -5.449 -0.189
O Sr Co
16 8 4
Direct
0.908 0.590 0.754 O
0.590 0.908 0.754 O
0.615 0.615 0.157 O
0.152 0.848 0.000 O
0.631 0.631 0.644 O
0.120 0.120 0.636 O
0.369 0.369 0.356 O
0.848 0.152 0.000 O
0.880 0.880 0.364 O
0.136 0.136 0.125 O
0.092 0.410 0.246 O
0.864 0.864 0.875 O
0.660 0.340 0.500 O
0.410 0.092 0.246 O
0.340 0.660 0.500 O
0.385 0.385 0.843 O
0.891 0.604 0.256 Sr
0.142 0.858 0.500 Sr
0.109 0.396 0.744 Sr
0.644 0.356 0.000 Sr
0.604 0.891 0.256 Sr
0.396 0.109 0.744 Sr
0.356 0.644 0.000 Sr
0.858 0.142 0.500 Sr
0.000 0.000 0.000 Co
0.249 0.249 0.251 Co
0.751 0.751 0.749 Co
0.500 0.500 0.500 Co
```

Properties
The calculation puts the electronic total energy at -6.040 eV per atom. As for the space group: C2/m (12).

---

Record 11
The following is a GGA+U calculation of a relaxed structure of SrCoO3, from Alexandria.

Cell and atoms, written as POSCAR:
```
SrCoO3
1.0
0.177 3.016 6.375
-2.863 6.375 0.967
-5.937 0.668 3.752
Sr O Co
4 12 4
Direct
0.625 0.625 0.625 Sr
0.125 0.625 0.625 Sr
0.625 0.125 0.625 Sr
0.625 0.625 0.125 Sr
0.449 0.449 0.051 O
0.051 0.449 0.051 O
0.199 0.801 0.199 O
0.199 0.199 0.801 O
0.801 0.199 0.199 O
0.449 0.051 0.449 O
0.449 0.051 0.051 O
0.051 0.449 0.449 O
0.051 0.051 0.449 O
0.801 0.199 0.801 O
0.199 0.801 0.801 O
0.801 0.801 0.199 O
0.125 0.625 0.125 Co
0.125 0.125 0.625 Co
0.625 0.125 0.125 Co
0.125 0.125 0.125 Co
```

Properties
The calculation puts the electronic total energy at -5.589 eV per atom. As for the space group: Fd-3m (227). The value obtained for the density of states at the Fermi level is 0.439 states/eV/atom.

---

Record 12
The following is a GGA+U calculation of a relaxed structure of SrCoO3, from Alexandria.

Cell and atoms, written as POSCAR:
```
SrCoO3
1.0
-0.468 2.795 2.697
-3.727 -1.087 0.480
0.485 -5.081 8.188
O Co Sr
6 2 2
Direct
0.744 0.744 0.512 O
0.256 0.256 0.488 O
0.226 0.917 0.167 O
0.083 0.774 0.833 O
0.083 0.393 0.833 O
0.607 0.917 0.167 O
0.250 0.750 0.500 Co
0.000 0.000 0.000 Co
0.847 0.347 0.306 Sr
0.653 0.153 0.694 Sr
```

Properties
The calculation puts the electronic total energy at -5.636 eV per atom. As for the space group: I-4m2 (119). The value obtained for the density of states at the Fermi level is 0.650 states/eV/atom.

---

| no. | total magnetization (μB/f.u.) |
| --- | --- |
| 1 | 4.06 |
| 2 | 2.99 |
| 3 | 5.95 |
| 4 | 3.00 |
| 5 | 3.39 |
| 6 | 5.00 |
| 7 | 3.63 |
| 8 | 2.00 |
| 9 | 3.07 |
| 10 | 2.96 |
| 11 | 1.07 |
| 12 | 2.90 |